! Er4Zn2Ag | Alexandria via LeMat-Bulk | PBE | optimized geometry; values from VASP
! DOS(E_F) in states/eV per cell: 9.0
! ΔH_f (0 K) in meV per atom: -58
! Theoretical density in g/cm³: 8.2
! E above lowest polymorph in eV per atom: 0.119
&SYSTEM
  ibrav = 0, nat = 7, ntyp = 3
/
ATOMIC_SPECIES
Er 167.26 Er.upf
Zn 65.41 Zn.upf
Ag 107.87 Ag.upf
CELL_PARAMETERS angstrom
2.4267 1.4010 8.9931
-2.4267 1.4010 8.9931
0.0000 -2.8021 8.9931
ATOMIC_POSITIONS angstrom
Er 0.0000 0.0000 3.2302
Er 0.0000 0.0000 8.0107
Er 0.0000 0.0000 18.9687
Er 0.0000 0.0000 23.7491
Zn 0.0000 0.0000 10.9010
Zn 0.0000 0.0000 16.0783
Ag 0.0000 0.0000 13.4897